# 1
Compound: SrNiGe
Source: Alexandria
Functional: GGA-PBEsol
Structure: relaxed

```
data_SrNiGe
_chemical_formula_sum 'Sr4 Ni4 Ge4'
_space_group_name_H-M_alt 'P n m a'
_space_group_IT_number 62
_cell_length_a 7.3238
_cell_length_b 4.1383
_cell_length_c 8.8576
_cell_angle_alpha 90.00
_cell_angle_beta 90.00
_cell_angle_gamma 90.00
loop_
_space_group_symop_operation_xyz
'x,y,z'
'-x,-y,-z'
'-x+1/2,-y,z+1/2'
'x+1/2,y,-z+1/2'
'x+1/2,-y+1/2,-z+1/2'
'-x+1/2,y+1/2,z+1/2'
'-x,y+1/2,-z'
'x,-y+1/2,z'
loop_
_atom_site_label
_atom_site_type_symbol
_atom_site_fract_x
_atom_site_fract_y
_atom_site_fract_z
Sr1 Sr 0.0038 0.2500 0.1997
Ni1 Ni 0.1111 0.7500 0.4761
Ge1 Ge 0.2017 0.2500 0.5587
```

## Properties
ΔH_f (0 K)   -0.4643 eV per atom


# 2
Compound: ZnFe2H28S4O30
Source: Alexandria
Functional: GGA-PBEsol
Structure: relaxed

```
data_ZnFe2H28S4O30
_chemical_formula_sum 'Zn1 Fe2 H28 S4 O30'
_space_group_name_H-M_alt 'P -1'
_space_group_IT_number 2
_cell_length_a 6.1920
_cell_length_b 6.2030
_cell_length_c 14.8177
_cell_angle_alpha 93.32
_cell_angle_beta 90.86
_cell_angle_gamma 100.05
loop_
_space_group_symop_operation_xyz
'x,y,z'
'-x,-y,-z'
loop_
_atom_site_label
_atom_site_type_symbol
_atom_site_fract_x
_atom_site_fract_y
_atom_site_fract_z
Zn1 Zn 0.0000 0.0000 0.0000
Fe1 Fe 0.3967 0.6630 0.3217
H1 H 0.0062 0.7575 0.8353
H2 H 0.0328 0.6105 0.2408
H3 H 0.0958 0.8634 0.2848
H4 H 0.1768 0.7478 0.1106
H5 H 0.1891 0.6892 0.4751
H6 H 0.2001 0.6504 0.0085
H7 H 0.2305 0.1740 0.1465
H8 H 0.2706 0.5124 0.6219
H9 H 0.2858 0.9306 0.4405
H10 H 0.2906 0.0192 0.6752
H11 H 0.3158 0.3098 0.5529
H12 H 0.3397 0.2684 0.9447
H13 H 0.3957 0.0269 0.9215
H14 H 0.4796 0.9608 0.7411
S1 S 0.0948 0.2383 0.3863
S2 S 0.3727 0.5887 0.8314
O1 O 0.0192 0.9629 0.6651
O2 O 0.0663 0.6345 0.5759
O3 O 0.0722 0.1433 0.1281
O4 O 0.1080 0.7258 0.0500
O5 O 0.1603 0.7380 0.2540
O6 O 0.1645 0.5823 0.7792
O7 O 0.2319 0.1746 0.4602
O8 O 0.2384 0.3674 0.3205
O9 O 0.2972 0.7696 0.4337
O10 O 0.3226 0.1156 0.9644
O11 O 0.3381 0.5366 0.9257
O12 O 0.3571 0.3915 0.6137
O13 O 0.4547 0.0383 0.6845
O14 O 0.4930 0.4145 0.7927
O15 O 0.4967 0.1860 0.1734
```


# 3
Compound: LaAu2Cl
Source: Alexandria
Functional: GGA-PBEsol
Structure: relaxed

```
data_LaAu2Cl
_chemical_formula_sum 'La1 Au2 Cl1'
_space_group_name_H-M_alt 'P 4/m m m'
_space_group_IT_number 123
_space_group_name_Hall '-P 4 2'
_cell_length_a 3.9846
_cell_length_b 3.9846
_cell_length_c 5.3720
_cell_angle_alpha 90.00
_cell_angle_beta 90.00
_cell_angle_gamma 90.00
loop_
_atom_site_label
_atom_site_type_symbol
_atom_site_fract_x
_atom_site_fract_y
_atom_site_fract_z
La1 La 0.0000 0.0000 0.0000
Au1 Au 0.0000 0.5000 0.5000
Cl1 Cl 0.5000 0.5000 0.0000
```

## Properties
E_form (uncorrected)   -933 meV per atom


# 4
Compound: MnNbFe2H
Source: Alexandria
Functional: GGA-PBEsol
Structure: relaxed

```
data_MnNbFe2H
_chemical_formula_sum 'Mn1 Nb1 Fe2 H1'
_space_group_name_H-M_alt 'P 4/m m m'
_space_group_IT_number 123
_space_group_name_Hall '-P 4 2'
_cell_length_a 3.6719
_cell_length_b 3.6719
_cell_length_c 3.6919
_cell_angle_alpha 90.00
_cell_angle_beta 90.00
_cell_angle_gamma 90.00
loop_
_atom_site_label
_atom_site_type_symbol
_atom_site_fract_x
_atom_site_fract_y
_atom_site_fract_z
Mn1 Mn 0.0000 0.0000 0.0000
Nb1 Nb 0.5000 0.5000 0.0000
Fe1 Fe 0.0000 0.5000 0.5000
H1 H 0.0000 0.0000 0.5000
```


# 5
Compound: Zr3CdO
Source: Alexandria
Functional: GGA-PBEsol
Structure: relaxed

```
data_Zr3CdO
_chemical_formula_sum 'Zr3 Cd1 O1'
_space_group_name_H-M_alt 'P m -3 m'
_space_group_IT_number 221
_space_group_name_Hall '-P 4 2 3'
_cell_length_a 4.4426
_cell_length_b 4.4426
_cell_length_c 4.4426
_cell_angle_alpha 90.00
_cell_angle_beta 90.00
_cell_angle_gamma 90.00
loop_
_atom_site_label
_atom_site_type_symbol
_atom_site_fract_x
_atom_site_fract_y
_atom_site_fract_z
Zr1 Zr 0.0000 0.0000 0.5000
Cd1 Cd 0.5000 0.5000 0.5000
O1 O 0.0000 0.0000 0.0000
```

## Properties
E_form (uncorrected)   -1164 meV per atom


# 6
Compound: MgZn3Se
Source: Alexandria
Functional: GGA-PBEsol
Structure: relaxed

```
data_MgZn3Se
_chemical_formula_sum 'Mg1 Zn3 Se1'
_space_group_name_H-M_alt 'P m -3 m'
_space_group_IT_number 221
_space_group_name_Hall '-P 4 2 3'
_cell_length_a 4.9390
_cell_length_b 4.9390
_cell_length_c 4.9390
_cell_angle_alpha 90.00
_cell_angle_beta 90.00
_cell_angle_gamma 90.00
loop_
_atom_site_label
_atom_site_type_symbol
_atom_site_fract_x
_atom_site_fract_y
_atom_site_fract_z
Mg1 Mg 0.0000 0.0000 0.0000
Zn1 Zn 0.0000 0.0000 0.5000
Se1 Se 0.5000 0.5000 0.5000
```

## Properties
E_form (uncorrected)   699 meV per atom


# 7
Compound: Li2TaOs
Source: Alexandria
Functional: GGA-PBEsol
Structure: relaxed

```
data_Li2TaOs
_chemical_formula_sum 'Li2 Ta1 Os1'
_space_group_name_H-M_alt 'P 4/m m m'
_space_group_IT_number 123
_space_group_name_Hall '-P 4 2'
_cell_length_a 3.2398
_cell_length_b 3.2398
_cell_length_c 5.0808
_cell_angle_alpha 90.00
_cell_angle_beta 90.00
_cell_angle_gamma 90.00
loop_
_atom_site_label
_atom_site_type_symbol
_atom_site_fract_x
_atom_site_fract_y
_atom_site_fract_z
Li1 Li 0.0000 0.0000 0.2182
Ta1 Ta 0.5000 0.5000 0.5000
Os1 Os 0.5000 0.5000 0.0000
```

## Properties
Excess energy over the best structure of this formula in the dataset   349 meV/atom
ΔH_f (0 K)   0.5557 eV per atom


# 8
Compound: Al2CrRu
Source: Alexandria
Functional: GGA-PBEsol
Structure: relaxed

```
data_Al2CrRu
_chemical_formula_sum 'Al4 Cr2 Ru2'
_space_group_name_H-M_alt 'C m m m'
_space_group_IT_number 65
_space_group_name_Hall '-C 2 2'
_cell_length_a 2.9749
_cell_length_b 4.4090
_cell_length_c 8.0822
_cell_angle_alpha 90.00
_cell_angle_beta 90.00
_cell_angle_gamma 90.00
loop_
_atom_site_label
_atom_site_type_symbol
_atom_site_fract_x
_atom_site_fract_y
_atom_site_fract_z
Al1 Al 0.0000 0.0000 0.2496
Cr1 Cr 0.0000 0.5000 0.0000
Ru1 Ru 0.0000 0.5000 0.5000
```

## Properties
ΔH_f (0 K)   -0.0843 eV per atom


# 9
Compound: Mg2CdCl
Source: Alexandria
Functional: GGA-PBEsol
Structure: relaxed

```
data_Mg2CdCl
_chemical_formula_sum 'Mg4 Cd2 Cl2'
_space_group_name_H-M_alt 'C 1 2/m 1'
_space_group_IT_number 12
_cell_length_a 7.5521
_cell_length_b 7.3122
_cell_length_c 3.0963
_cell_angle_alpha 90.00
_cell_angle_beta 93.46
_cell_angle_gamma 90.00
loop_
_space_group_symop_operation_xyz
'x,y,z'
'-x,-y,-z'
'-x,y,-z'
'x,-y,z'
'x+1/2,y+1/2,z'
'-x+1/2,-y+1/2,-z'
'-x+1/2,y+1/2,-z'
'x+1/2,-y+1/2,z'
loop_
_atom_site_label
_atom_site_type_symbol
_atom_site_fract_x
_atom_site_fract_y
_atom_site_fract_z
Mg1 Mg 0.2500 0.2500 0.0000
Cd1 Cd 0.0000 0.0000 0.5000
Cl1 Cl 0.0000 0.5000 0.5000
```

## Properties
Excess energy over the best structure of this formula in the dataset   50 meV/atom
E_form (uncorrected)   -391 meV per atom


# 10
Compound: Ca2MgSe
Source: Alexandria
Functional: GGA-PBEsol
Structure: relaxed

```
data_Ca2MgSe
_chemical_formula_sum 'Ca4 Mg2 Se2'
_space_group_name_H-M_alt 'A m m 2'
_space_group_IT_number 38
_cell_length_a 4.0001
_cell_length_b 4.6270
_cell_length_c 11.8982
_cell_angle_alpha 90.00
_cell_angle_beta 90.00
_cell_angle_gamma 90.00
loop_
_space_group_symop_operation_xyz
'x,y,z'
'-x,-y,z'
'-x,y,z'
'x,-y,z'
'x,y+1/2,z+1/2'
'-x,-y+1/2,z+1/2'
'-x,y+1/2,z+1/2'
'x,-y+1/2,z+1/2'
loop_
_atom_site_label
_atom_site_type_symbol
_atom_site_fract_x
_atom_site_fract_y
_atom_site_fract_z
Ca1 Ca 0.0000 0.0000 0.0000
Ca2 Ca 0.5000 0.0000 0.2998
Mg1 Mg 0.0000 0.0000 0.7144
Se1 Se 0.5000 0.0000 0.5464
```

## Properties
E_form (uncorrected)   -789 meV per atom


# 11
Compound: K2ZnCuCl
Source: Alexandria
Functional: GGA-PBEsol
Structure: relaxed

```
data_K2ZnCuCl
_chemical_formula_sum 'K2 Zn1 Cu1 Cl1'
_space_group_name_H-M_alt 'P 4/m m m'
_space_group_IT_number 123
_space_group_name_Hall '-P 4 2'
_cell_length_a 5.9570
_cell_length_b 5.9570
_cell_length_c 4.5978
_cell_angle_alpha 90.00
_cell_angle_beta 90.00
_cell_angle_gamma 90.00
loop_
_atom_site_label
_atom_site_type_symbol
_atom_site_fract_x
_atom_site_fract_y
_atom_site_fract_z
K1 K 0.0000 0.5000 0.0000
Zn1 Zn 0.0000 0.0000 0.5000
Cu1 Cu 0.5000 0.5000 0.5000
Cl1 Cl 0.5000 0.5000 0.0000
```

## Properties
E_form (uncorrected)   -58 meV per atom


# 12
Compound: TaNiRh2
Source: Alexandria
Functional: GGA-PBEsol
Structure: relaxed

```
data_TaNiRh2
_chemical_formula_sum 'Ta2 Ni2 Rh4'
_space_group_name_H-M_alt 'I 4/m m m'
_space_group_IT_number 139
_space_group_name_Hall '-I 4 2'
_cell_length_a 3.8646
_cell_length_b 3.8646
_cell_length_c 7.3123
_cell_angle_alpha 90.00
_cell_angle_beta 90.00
_cell_angle_gamma 90.00
loop_
_atom_site_label
_atom_site_type_symbol
_atom_site_fract_x
_atom_site_fract_y
_atom_site_fract_z
Ta1 Ta 0.0000 0.0000 0.0000
Ni1 Ni 0.0000 0.0000 0.5000
Rh1 Rh 0.0000 0.5000 0.2500
```

## Properties
ΔH_f (0 K)   -0.4433 eV per atom


Number 1: Fermi-level density of states 0.475 states/eV/atom, E_tot -4.777 eV/atom. Number 2: Fermi-level density of states 0.121 states/eV/atom, E_tot -5.574 eV/atom. Number 3: Fermi-level density of states 0.491 states/eV/atom, E_tot -4.733 eV/atom. Number 4: Fermi-level density of states 0.894 states/eV/atom, E_tot -8.394 eV/atom. Number 5: Fermi-level density of states 0.985 states/eV/atom, E_tot -7.907 eV/atom. Number 6: Fermi-level density of states 0.633 states/eV/atom, E_tot -1.364 eV/atom. Number 7: Fermi-level density of states 0.577 states/eV/atom, E_tot -6.619 eV/atom. Number 8: Fermi-level density of states 0.734 states/eV/atom, E_tot -7.234 eV/atom. Number 9: Fermi-level density of states 0.341 states/eV/atom, E_tot -2.051 eV/atom. Number 10: Fermi-level density of states 0.699 states/eV/atom, E_tot -3.248 eV/atom. Number 11: Fermi-level density of states 0.646 states/eV/atom, E_tot -2.096 eV/atom. Number 12: Fermi-level density of states 1.074 states/eV/atom, E_tot -9.190 eV/atom.